Entry 1:
Compound: ErTm2PuAs4
Source: the Alexandria database
Functional: PBE-GGA
Structure: relaxed

Computed properties:
As for the density of states at the Fermi level: 12.69 states/eV/cell. The value obtained for the final energy is -0.2639 Ha/atom. The spin magnetization comes out at 4.93 μB per cell.

Cell lengths 7.0656, 4.0931, 7.0677 Å; angles 90.00, 109.47, 90.00 degrees
Fractional positions:
Er  0.0000  0.0000  0.0000
Tm  0.5000  0.0000  0.5000
Tm  0.5000  0.5000  0.0000
Pu  0.0000  0.5000  0.5000
As  0.2520  0.0000  0.7511
As  0.2516  0.5000  0.2501
As  0.7480  0.0000  0.2489
As  0.7484  0.5000  0.7499

=====

Entry 2:
Compound: ErTmPu2As4
Source: the Alexandria database
Functional: PBE-GGA
Structure: relaxed

Computed properties:
As for the density of states at the Fermi level: 20.77 states/eV/cell. The value obtained for the final energy is -0.3051 Ha/atom. The spin magnetization comes out at 9.90 μB per cell.

Cell lengths 7.0718, 4.1142, 7.1228 Å; angles 90.00, 109.62, 90.00 degrees
Fractional positions:
Er  0.0000  0.0000  0.0000
Tm  0.0000  0.5000  0.5000
Pu  0.5000  0.0000  0.5000
Pu  0.5000  0.5000  0.0000
As  0.2489  0.0000  0.7491
As  0.2493  0.5000  0.2504
As  0.7511  0.0000  0.2509
As  0.7507  0.5000  0.7496

=====

Entry 3:
Compound: ErPu3U4As8
Source: the Alexandria database
Functional: PBE-GGA
Structure: relaxed

Computed properties:
As for the density of states at the Fermi level: 49.42 states/eV/cell. The value obtained for the final energy is -0.3331 Ha/atom. The spin magnetization comes out at 25.53 μB per cell.

Cell lengths 8.2762, 8.2762, 8.2762 Å; angles 59.08, 59.08, 59.08 degrees
Fractional positions:
Er  0.0000  0.0000  0.0000
Pu  0.0000  0.5000  0.5000
Pu  0.5000  0.0000  0.5000
Pu  0.5000  0.5000  0.0000
U  0.0000  0.0000  0.5000
U  0.0000  0.5000  0.0000
U  0.5000  0.0000  0.0000
U  0.5000  0.5000  0.5000
As  0.2476  0.7499  0.7499
As  0.2488  0.2488  0.2488
As  0.2501  0.2501  0.7524
As  0.2501  0.7524  0.2501
As  0.7499  0.2476  0.7499
As  0.7499  0.7499  0.2476
As  0.7512  0.7512  0.7512
As  0.7524  0.2501  0.2501

=====

Entry 4:
Compound: Er2PuUAs4
Source: the Alexandria database
Functional: PBE-GGA
Structure: relaxed

Computed properties:
As for the density of states at the Fermi level: 19.64 states/eV/cell. The value obtained for the final energy is -0.2884 Ha/atom. The spin magnetization comes out at 3.20 μB per cell.

Cell lengths 7.0738, 4.0810, 7.1138 Å; angles 90.00, 109.39, 90.00 degrees
Fractional positions:
Er  0.0000  0.0000  0.0000
Er  0.0000  0.5000  0.5000
Pu  0.5000  0.0000  0.5000
U  0.5000  0.5000  0.0000
As  0.2494  0.0000  0.7530
As  0.2501  0.5000  0.2465
As  0.7499  0.5000  0.7535
As  0.7506  0.0000  0.2470

=====

Entry 5:
Compound: YErPu2As4
Source: the Alexandria database
Functional: PBE-GGA
Structure: relaxed

Computed properties:
As for the density of states at the Fermi level: 26.86 states/eV/cell. The value obtained for the final energy is -0.3136 Ha/atom. The spin magnetization comes out at 0.02 μB per cell.

Cell lengths 7.1154, 4.1275, 7.1404 Å; angles 90.00, 109.61, 90.00 degrees
Fractional positions:
Y  0.0000  0.0000  0.0000
Er  0.0000  0.5000  0.5000
Pu  0.5000  0.0000  0.5000
Pu  0.5000  0.5000  0.0000
As  0.2493  0.0000  0.7491
As  0.2505  0.5000  0.2524
As  0.7495  0.5000  0.7476
As  0.7507  0.0000  0.2509

=====

Entry 6:
Compound: YEr2PuAs4
Source: the Alexandria database
Functional: PBE-GGA
Structure: relaxed

Computed properties:
As for the density of states at the Fermi level: 12.96 states/eV/cell. The value obtained for the final energy is -0.2741 Ha/atom. The spin magnetization comes out at 4.93 μB per cell.

Cell lengths 7.1017, 4.1131, 7.1041 Å; angles 90.00, 109.46, 90.00 degrees
Fractional positions:
Y  0.0000  0.0000  0.0000
Er  0.5000  0.0000  0.5000
Er  0.5000  0.5000  0.0000
Pu  0.0000  0.5000  0.5000
As  0.2516  0.0000  0.7496
As  0.2523  0.5000  0.2518
As  0.7484  0.0000  0.2504
As  0.7477  0.5000  0.7482

=====

Entry 7:
Compound: ErPu2ZrAs4
Source: the Alexandria database
Functional: PBE-GGA
Structure: relaxed

Computed properties:
As for the density of states at the Fermi level: 20.64 states/eV/cell. The value obtained for the final energy is -0.3213 Ha/atom. The spin magnetization comes out at 10.39 μB per cell.

Cell lengths 6.9934, 4.0488, 7.0354 Å; angles 90.00, 109.43, 90.00 degrees
Fractional positions:
Er  0.0000  0.0000  0.0000
Pu  0.5000  0.0000  0.5000
Pu  0.5000  0.5000  0.0000
Zr  0.0000  0.5000  0.5000
As  0.2398  0.0000  0.7400
As  0.2437  0.5000  0.2550
As  0.7563  0.5000  0.7450
As  0.7602  0.0000  0.2600

=====

Entry 8:
Compound: Rb2ErAs2S6
Source: the Alexandria database
Functional: PBE-GGA
Structure: relaxed

Computed properties:
As for the density of states at the Fermi level: 3.61 states/eV/cell. The value obtained for the final energy is -0.1658 Ha/atom. Its uncorrected formation energy is -0.83 eV/atom. The spin magnetization comes out at 0.00 μB per cell.

Cell lengths 6.9846, 6.9846, 8.4516 Å; angles 113.70, 113.70, 61.30 degrees
Fractional positions:
Rb  0.2037  0.2037  0.1818
Rb  0.7963  0.7963  0.8182
Er  0.0000  0.0000  0.5000
As  0.4479  0.4479  0.8052
As  0.5521  0.5521  0.1948
S  0.1993  0.7090  0.2246
S  0.2457  0.2457  0.5986
S  0.2910  0.8007  0.7754
S  0.7090  0.1993  0.2246
S  0.7543  0.7543  0.4014
S  0.8007  0.2910  0.7754

=====

Entry 9:
Compound: Rb2ErAsS4
Source: the Alexandria database
Functional: PBE-GGA
Structure: relaxed

Computed properties:
As for the density of states at the Fermi level: 0.00 states/eV/cell. The value obtained for the final energy is -0.1642 Ha/atom. Its uncorrected formation energy is -1.01 eV/atom. The spin magnetization comes out at 0.00 μB per cell.

Cell lengths 14.1230, 12.5884, 7.9344 Å; angles 83.69, 62.37, 33.95 degrees
Fractional positions:
Rb  0.0579  0.0579  0.6921
Rb  0.3079  0.3079  0.9421
Rb  0.6921  0.6921  0.0579
Rb  0.9421  0.9421  0.3079
Er  0.1250  0.1250  0.1250
Er  0.8750  0.8750  0.8750
As  0.3750  0.3750  0.3750
As  0.6250  0.6250  0.6250
S  0.0185  0.3349  0.4285
S  0.2820  0.5715  0.6651
S  0.3349  0.0185  0.7180
S  0.4285  0.7180  0.0185
S  0.5715  0.2820  0.9815
S  0.6651  0.9815  0.2820
S  0.7180  0.4285  0.3349
S  0.9815  0.6651  0.5715

=====

Entry 10:
Compound: ErReAs
Source: the Alexandria database
Functional: PBE-GGA
Structure: relaxed

Computed properties:
As for the density of states at the Fermi level: 2.90 states/eV/cell. The value obtained for the final energy is -0.2839 Ha/atom. The spin magnetization comes out at 0.00 μB per cell.

Cell lengths 4.0056, 4.0056, 7.2370 Å; angles 90.94, 90.94, 90.70 degrees
Fractional positions:
Er  0.2469  0.2469  0.3374
Er  0.7531  0.7531  0.6626
Re  0.2088  0.7912  0.0000
Re  0.7912  0.2088  0.0000
As  0.2687  0.2687  0.7492
As  0.7313  0.7313  0.2508

=====

Entry 11:
Compound: ErAs2Rh
Source: the Alexandria database
Functional: PBE-GGA
Structure: relaxed

Computed properties:
As for the density of states at the Fermi level: 1.97 states/eV/cell. The value obtained for the final energy is -0.2021 Ha/atom. The spin magnetization comes out at 0.00 μB per cell.

Cell lengths 9.2274, 9.2274, 9.2274 Å; angles 20.75, 20.75, 20.75 degrees
Fractional positions:
Er  0.0000  0.0000  0.0000
As  0.1051  0.1051  0.1051
As  0.8949  0.8949  0.8949
Rh  0.5000  0.5000  0.5000

=====

Entry 12:
Compound: ErAs2Rh5
Source: the Alexandria database
Functional: PBE-GGA
Structure: relaxed

Computed properties:
As for the density of states at the Fermi level: 5.29 states/eV/cell. The value obtained for the final energy is -0.2550 Ha/atom. The spin magnetization comes out at 0.00 μB per cell.

Cell lengths 6.2979, 6.2979, 6.2979 Å; angles 144.20, 112.42, 78.91 degrees
Fractional positions:
Er  0.0000  0.0000  0.0000
As  0.2525  0.7525  0.5000
As  0.7475  0.2475  0.5000
Rh  0.1570  0.3571  0.7999
Rh  0.4428  0.6429  0.7999
Rh  0.5000  0.0000  0.5000
Rh  0.5572  0.3571  0.2001
Rh  0.8430  0.6429  0.2001

=====

Entry 13:
Compound: ErAs2Rh4
Source: the Alexandria database
Functional: PBE-GGA
Structure: relaxed

Computed properties:
As for the density of states at the Fermi level: 12.60 states/eV/cell. The value obtained for the final energy is -0.2524 Ha/atom. The calculation puts the polymorph energy (0 for the lowest one) at 0.010 eV/atom. The spin magnetization comes out at 0.00 μB per cell.

Cell lengths 16.8527, 4.1832, 6.4994 Å; angles 90.00, 90.00, 90.00 degrees
Fractional positions:
Er  0.1411  0.2500  0.0397
Er  0.3589  0.7500  0.5397
Er  0.6411  0.2500  0.4603
Er  0.8589  0.7500  0.9603
As  0.0397  0.7500  0.2477
As  0.2083  0.2500  0.6040
As  0.2917  0.7500  0.1040
As  0.4603  0.2500  0.7477
As  0.5397  0.7500  0.2523
As  0.7083  0.2500  0.8960
As  0.7917  0.7500  0.3960
As  0.9603  0.2500  0.7523
Rh  0.0313  0.7500  0.8594
Rh  0.0680  0.2500  0.5088
Rh  0.1758  0.7500  0.3750
Rh  0.2136  0.7500  0.7941
Rh  0.2864  0.2500  0.2941
Rh  0.3242  0.2500  0.8750
Rh  0.4320  0.7500  0.0088
Rh  0.4687  0.2500  0.3594
Rh  0.5313  0.7500  0.6406
Rh  0.5680  0.2500  0.9912
Rh  0.6758  0.7500  0.1250
Rh  0.7136  0.7500  0.7059
Rh  0.7864  0.2500  0.2059
Rh  0.8242  0.2500  0.6250
Rh  0.9320  0.7500  0.4912
Rh  0.9687  0.2500  0.1406

=====

Entry 14:
Compound: Er2As3Rh5
Source: the Alexandria database
Functional: PBE-GGA
Structure: relaxed

Computed properties:
As for the density of states at the Fermi level: 13.36 states/eV/cell. The value obtained for the final energy is -0.2495 Ha/atom. The spin magnetization comes out at 0.00 μB per cell.

Cell lengths 12.4378, 12.4378, 6.6433 Å; angles 90.00, 90.00, 160.82 degrees
Fractional positions:
Er  0.0186  0.9814  0.5000
Er  0.3231  0.6769  0.4427
Er  0.6769  0.3231  0.9427
Er  0.9814  0.0186  0.0000
As  0.1107  0.8893  0.7437
As  0.2792  0.7208  0.8860
As  0.4536  0.5464  0.7130
As  0.5464  0.4536  0.2130
As  0.7208  0.2792  0.3860
As  0.8893  0.1107  0.2437
Rh  0.0994  0.9006  0.1317
Rh  0.2016  0.7984  0.6052
Rh  0.2232  0.7768  0.1902
Rh  0.3787  0.6213  0.9673
Rh  0.4437  0.5563  0.3387
Rh  0.5563  0.4437  0.8387
Rh  0.6213  0.3787  0.4673
Rh  0.7768  0.2232  0.6902
Rh  0.7984  0.2016  0.1052
Rh  0.9006  0.0994  0.6317

=====

Entry 15:
Compound: ErAsRh
Source: the Alexandria database
Functional: PBE-GGA
Structure: relaxed

Computed properties:
As for the density of states at the Fermi level: 3.15 states/eV/cell. The value obtained for the final energy is -0.1954 Ha/atom. The spin magnetization comes out at 0.08 μB per cell.

Cell lengths 7.1213, 7.1213, 7.1213 Å; angles 154.33, 154.33, 36.61 degrees
Fractional positions:
Er  0.0000  0.0000  0.0000
As  0.6372  0.6372  0.0000
Rh  0.8164  0.8164  0.0000

=====

Entry 16:
Compound: ErAsRh2
Source: the Alexandria database
Functional: PBE-GGA
Structure: relaxed

Computed properties:
As for the density of states at the Fermi level: 12.52 states/eV/cell. The value obtained for the final energy is -0.2497 Ha/atom. The spin magnetization comes out at 0.00 μB per cell.

Cell lengths 8.1632, 8.1632, 8.7822 Å; angles 90.00, 90.00, 150.75 degrees
Fractional positions:
Er  0.0000  0.0000  0.0000
Er  0.0000  0.0000  0.5000
Er  0.1940  0.8060  0.7500
Er  0.8060  0.1940  0.2500
As  0.3604  0.6396  0.0253
As  0.3604  0.6396  0.4747
As  0.6396  0.3604  0.5253
As  0.6396  0.3604  0.9747
Rh  0.2011  0.7989  0.0862
Rh  0.2011  0.7989  0.4138
Rh  0.3822  0.6178  0.7500
Rh  0.4513  0.5487  0.2500
Rh  0.5487  0.4513  0.7500
Rh  0.6178  0.3822  0.2500
Rh  0.7989  0.2011  0.5862
Rh  0.7989  0.2011  0.9138

=====

Entry 17:
Compound: ErAs2Rh4
Source: the Alexandria database
Functional: PBE-GGA
Structure: relaxed

Computed properties:
As for the density of states at the Fermi level: 10.40 states/eV/cell. The value obtained for the final energy is -0.2527 Ha/atom. The calculation puts the polymorph energy (0 for the lowest one) at 0.000 eV/atom. The spin magnetization comes out at 0.00 μB per cell.

Cell lengths 7.7367, 7.7367, 3.8457 Å; angles 90.00, 90.00, 90.00 degrees
Fractional positions:
Er  0.0000  0.0000  0.0000
Er  0.5000  0.5000  0.5000
As  0.2301  0.2301  0.5000
As  0.2699  0.7301  0.0000
As  0.7301  0.2699  0.0000
As  0.7699  0.7699  0.5000
Rh  0.0729  0.6721  0.5000
Rh  0.1721  0.4271  0.0000
Rh  0.3279  0.9271  0.5000
Rh  0.4271  0.1721  0.0000
Rh  0.5729  0.8279  0.0000
Rh  0.6721  0.0729  0.5000
Rh  0.8279  0.5729  0.0000
Rh  0.9271  0.3279  0.5000

=====

Entry 18:
Compound: ErAsRh
Source: the Alexandria database
Functional: PBE-GGA
Structure: relaxed

Computed properties:
As for the density of states at the Fermi level: 5.46 states/eV/cell. The value obtained for the final energy is -0.2215 Ha/atom. The spin magnetization comes out at 0.13 μB per cell.

Cell lengths 5.9974, 5.9974, 3.9324 Å; angles 90.00, 90.00, 101.52 degrees
Fractional positions:
Er  0.2050  0.7950  0.0000
Er  0.7950  0.2050  0.0000
As  0.0000  0.0000  0.5000
As  0.5000  0.5000  0.0000
Rh  0.3186  0.3186  0.5000
Rh  0.6814  0.6814  0.5000

=====

Entry 19:
Compound: Er3As2Rh7
Source: the Alexandria database
Functional: PBE-GGA
Structure: relaxed

Computed properties:
As for the density of states at the Fermi level: 6.78 states/eV/cell. The value obtained for the final energy is -0.2511 Ha/atom. The spin magnetization comes out at 0.00 μB per cell.

Cell lengths 14.0458, 14.0458, 3.9667 Å; angles 90.00, 90.00, 163.24 degrees
Fractional positions:
Er  0.0000  0.0000  0.0000
Er  0.2027  0.7973  0.0000
Er  0.7973  0.2027  0.0000
As  0.4147  0.5853  0.5000
As  0.5853  0.4147  0.5000
Rh  0.1311  0.8689  0.5000
Rh  0.2893  0.7107  0.5000
Rh  0.3666  0.6334  0.0000
Rh  0.5000  0.5000  0.5000
Rh  0.6334  0.3666  0.0000
Rh  0.7107  0.2893  0.5000
Rh  0.8689  0.1311  0.5000

=====

Entry 20:
Compound: ErAsRh2
Source: the Alexandria database
Functional: PBE-GGA
Structure: relaxed

Computed properties:
As for the density of states at the Fermi level: 2.40 states/eV/cell. The value obtained for the final energy is -0.2461 Ha/atom. The spin magnetization comes out at 0.00 μB per cell.

Cell lengths 4.2011, 4.2011, 3.8246 Å; angles 90.00, 90.00, 90.00 degrees
Fractional positions:
Er  0.0000  0.0000  0.0000
As  0.5000  0.5000  0.0000
Rh  0.0000  0.5000  0.5000
Rh  0.5000  0.0000  0.5000

=====

Entry 21:
Compound: ErAsRh
Source: the Alexandria database
Functional: PBE-GGA
Structure: relaxed

Computed properties:
As for the density of states at the Fermi level: 14.31 states/eV/cell. The value obtained for the final energy is -0.2444 Ha/atom. The spin magnetization comes out at 0.00 μB per cell.

Cell lengths 6.8839, 4.0016, 11.9639 Å; angles 90.00, 91.02, 90.00 degrees
Fractional positions:
Er  0.0274  0.2500  0.2071
Er  0.3414  0.7500  0.5790
Er  0.4693  0.7500  0.8791
Er  0.5307  0.2500  0.1209
Er  0.6586  0.2500  0.4210
Er  0.9726  0.7500  0.7929
As  0.2312  0.2500  0.4163
As  0.2321  0.7500  0.0777
As  0.2680  0.2500  0.7485
As  0.7320  0.7500  0.2515
As  0.7679  0.2500  0.9223
As  0.7688  0.7500  0.5837
Rh  0.0013  0.7500  0.4094
Rh  0.1537  0.2500  0.9567
Rh  0.3615  0.7500  0.2937
Rh  0.6385  0.2500  0.7063
Rh  0.8463  0.7500  0.0433
Rh  0.9987  0.2500  0.5906